ReAgBr2 | Alexandria | PBE | relaxed; raw total energy = -15.912 eV for the cell shown; calculated volume = 90 Å³/f.u.; formation energy without anion corrections = 683 meV per atom; ΔE to the lowest computed polymorph = 245 meV/atom
1.0
1.826 0.000 10.378
-0.913 1.581 10.378
-0.913 -1.581 10.378
Re Br Ag
1 2 1
Direct
0.500 0.500 0.500 Re
0.894 0.894 0.894 Br
0.106 0.106 0.106 Br
0.000 0.000 0.000 Ag